[1]
{"formula": "NdMgScIn", "functional": "PBE", "state": "relaxed", "sg": "F-43m, No. 216", "lattice_angstrom": [[5.2576, 0.0000, 0.0000], [2.6288, 4.5532, 0.0000], [2.6288, 1.5177, 4.2928]], "species": ["Mg", "Nd", "Sc", "In"], "frac_coords": [[0.7500, 0.7500, 0.7500], [0.5000, 0.5000, 0.5000], [0.0000, 0.0000, 0.0000], [0.2500, 0.2500, 0.2500]]}

---

[2]
{"formula": "NdSmMgIn", "functional": "PBE", "state": "relaxed", "sg": "F-43m, No. 216", "lattice_angstrom": [[5.4489, 0.0000, 0.0000], [2.7244, 4.7189, 0.0000], [2.7244, 1.5730, 4.4490]], "species": ["Sm", "In", "Nd", "Mg"], "frac_coords": [[0.2500, 0.2500, 0.2500], [0.5000, 0.5000, 0.5000], [0.7500, 0.7500, 0.7500], [0.0000, 0.0000, 0.0000]]}

---

[3]
{"formula": "Nd2SmMg2In2", "functional": "PBE", "state": "relaxed", "sg": "R-3m, No. 166", "lattice_angstrom": [[5.0420, 0.0000, 0.0000], [2.5210, 4.3665, 0.0000], [2.5210, 1.4555, 9.0212]], "species": ["Mg", "Mg", "In", "In", "Nd", "Nd", "Sm"], "frac_coords": [[0.6024, 0.6024, 0.1929], [0.3976, 0.3976, 0.8071], [0.2646, 0.2646, 0.2061], [0.7354, 0.7354, 0.7939], [0.1291, 0.1291, 0.6127], [0.8709, 0.8709, 0.3873], [0.0000, 0.0000, 0.0000]]}

---

[4]
{"formula": "NdMg2InSn", "functional": "PBE", "state": "relaxed", "sg": "Cmcm, No. 63", "lattice_angstrom": [[4.6864, 0.0000, 0.0000], [-2.3432, 5.5865, 0.0000], [0.0000, 0.0000, 9.8270]], "species": ["Mg", "Mg", "Mg", "Mg", "Sn", "Sn", "In", "In", "Nd", "Nd"], "frac_coords": [[0.2760, 0.5520, 0.9155], [0.7240, 0.4480, 0.4155], [0.2760, 0.5520, 0.5845], [0.7240, 0.4480, 0.0845], [0.1597, 0.3193, 0.2500], [0.8403, 0.6807, 0.7500], [0.0000, 0.0000, 0.0000], [0.0000, 0.0000, 0.5000], [0.4423, 0.8846, 0.2500], [0.5577, 0.1154, 0.7500]]}

---

[5]
{"formula": "SrNdMg2In2", "functional": "PBE", "state": "relaxed", "sg": "P-3m1, No. 164", "lattice_angstrom": [[-1.8958, 2.7785, 3.8092], [-3.0236, -1.5045, -3.7971], [-1.6969, -6.5895, 3.9620]], "species": ["In", "In", "Sr", "Mg", "Mg", "Nd"], "frac_coords": [[0.3333, 0.6667, 0.2835], [0.6667, 0.3333, 0.7165], [0.0000, 0.0000, 0.0000], [0.3333, 0.6667, 0.7111], [0.6667, 0.3333, 0.2889], [0.0000, 0.0000, 0.5000]]}

---

[6]
{"formula": "SrNdMgIn", "functional": "PBE", "state": "relaxed", "sg": "F-43m, No. 216", "lattice_angstrom": [[-4.9619, -2.3864, -1.1579], [-1.7244, -4.4750, 2.9424], [-4.2737, 0.4939, 3.6260]], "species": ["Nd", "Sr", "Mg", "In"], "frac_coords": [[0.2500, 0.2500, 0.2500], [0.7500, 0.7500, 0.7500], [0.0000, 0.0000, 0.0000], [0.5000, 0.5000, 0.5000]]}

---

[7]
{"formula": "SrNdMgIn", "functional": "PBE", "state": "relaxed", "sg": "P4mm, No. 99", "lattice_angstrom": [[3.9768, 0.0000, 0.0000], [0.0000, 3.9768, 0.0000], [0.0000, 0.0000, 8.1095]], "species": ["Sr", "Nd", "Mg", "In"], "frac_coords": [[0.0000, 0.0000, 0.8616], [0.0000, 0.0000, 0.3528], [0.5000, 0.5000, 0.5845], [0.5000, 0.5000, 0.1290]]}

---

[8]
{"formula": "Tb2NdMg2In2", "functional": "PBE", "state": "relaxed", "sg": "R-3m, No. 166", "lattice_angstrom": [[5.0403, 0.0000, 0.0000], [2.5202, 4.3651, 0.0000], [2.5202, 1.4550, 8.8037]], "species": ["Mg", "Mg", "Nd", "Tb", "Tb", "In", "In"], "frac_coords": [[0.7345, 0.7345, 0.7964], [0.2655, 0.2655, 0.2036], [0.0000, 0.0000, 0.0000], [0.8704, 0.8704, 0.3889], [0.1296, 0.1296, 0.6111], [0.4054, 0.4054, 0.7838], [0.5946, 0.5946, 0.2162]]}

---

[9]
{"formula": "TbNdMgIn", "functional": "PBE", "state": "relaxed", "sg": "F-43m, No. 216", "lattice_angstrom": [[-1.9805, -2.2529, -4.4986], [-4.1206, -3.4871, 0.3110], [-4.8912, 1.4263, -1.8103]], "species": ["Mg", "In", "Nd", "Tb"], "frac_coords": [[0.0000, 0.0000, 0.0000], [0.5000, 0.5000, 0.5000], [0.7500, 0.7500, 0.7500], [0.2500, 0.2500, 0.2500]]}

---

[10]
{"formula": "TbNd2Mg2In2", "functional": "PBE", "state": "relaxed", "sg": "R-3m, No. 166", "lattice_angstrom": [[-4.6312, 1.5312, -1.1948], [-2.2689, -1.8209, -4.0936], [-5.7751, -6.7834, 3.1377]], "species": ["In", "In", "Mg", "Mg", "Tb", "Nd", "Nd"], "frac_coords": [[0.2656, 0.2656, 0.2032], [0.7344, 0.7344, 0.7968], [0.6039, 0.6039, 0.1883], [0.3961, 0.3961, 0.8117], [0.0000, 0.0000, 0.0000], [0.1286, 0.1286, 0.6141], [0.8714, 0.8714, 0.3859]]}

---

[11]
{"formula": "NdMgTlIn", "functional": "PBE", "state": "relaxed", "polymorph_energy_kj_per_mol_fu": 32, "sg": "F-43m, No. 216", "lattice_angstrom": [[5.3207, 0.0000, 0.0000], [2.6603, 4.6079, 0.0000], [2.6603, 1.5360, 4.3443]], "species": ["Mg", "Nd", "Tl", "In"], "frac_coords": [[0.2500, 0.2500, 0.2500], [0.7500, 0.7500, 0.7500], [0.0000, 0.0000, 0.0000], [0.5000, 0.5000, 0.5000]]}

---

[12]
{"formula": "NdMg2TlIn", "functional": "PBE", "state": "relaxed", "sg": "Cmcm, No. 63", "lattice_angstrom": [[-1.3722, -4.4019, 2.0889], [7.6970, -0.8480, -2.8640], [2.3759, 2.0074, 5.7910]], "species": ["Mg", "Mg", "Mg", "Mg", "In", "In", "Nd", "Nd", "Tl", "Tl"], "frac_coords": [[0.8018, 0.6037, 0.9994], [0.1982, 0.3963, 0.4994], [0.1982, 0.3963, 0.0006], [0.8018, 0.6037, 0.5006], [0.0000, 0.0000, 0.5000], [0.0000, 0.0000, 0.0000], [0.4118, 0.8236, 0.7500], [0.5882, 0.1764, 0.2500], [0.3694, 0.7388, 0.2500], [0.6306, 0.2612, 0.7500]]}

---

no.,total energy (eV/cell)
1,-16.639
2,-15.159
3,-24.748
4,-32.806
5,-17.327
6,-11.843
7,-11.849
8,-24.049
9,-15.055
10,-24.601
11,-12.561
12,-28.359